## 1
Below is an optimized crystal structure of RbY3Ru, with properties calculated at the PBE level.

Cell lengths 5.254, 5.254, 5.254 Å; angles 90.00, 90.00, 90.00 degrees
Sites, in units of the cell vectors:
Rb: 0.000 0.000 0.000
Y: 0.000 0.000 0.500
Y: 0.000 0.500 0.000
Y: 0.500 0.000 0.000
Ru: 0.500 0.500 0.500

Output
DOS at the Fermi energy	5.19	states/eV/cell
space-group type	No. 221

## 2
Below is an optimized crystal structure of RbY3Ru, with properties calculated at the PBE level.

Cell lengths 5.557, 5.557, 5.557 Å; angles 90.00, 90.00, 90.00 degrees
Sites, in units of the cell vectors:
Rb: 0.000 0.000 0.000
Y: 0.000 0.500 0.500
Y: 0.500 0.000 0.500
Y: 0.500 0.500 0.000
Ru: 0.500 0.500 0.500

Output
DOS at the Fermi energy	2.77	states/eV/cell
space-group type	No. 221

In terms of stability, 2 leads; the second structure lies 1785 meV per atom higher.